Arrangement one

# LaW2Br (GGA-PBE, optimized geometry)
# N(E_F)   6.74 states/eV per cell
# Spin magnetization   0.00 μB per formula unit
data_LaW2Br
_space_group_name_H-M_alt 'I m m m'
_space_group_IT_number 71
_space_group_name_Hall '-I 2 2'
_cell_length_a 3.168
_cell_length_b 4.692
_cell_length_c 11.419
_cell_angle_alpha 90.00
_cell_angle_beta 90.00
_cell_angle_gamma 90.00
loop_
_atom_site_label
_atom_site_type_symbol
_atom_site_fract_x
_atom_site_fract_y
_atom_site_fract_z
La1 La 0.000 0.000 0.000
W1 W 0.000 0.500 0.240
Br1 Br 0.000 0.000 0.500

***

Arrangement two

# LaW2Br (GGA-PBE, optimized geometry)
# N(E_F)   5.74 states/eV per cell
# Spin magnetization   0.00 μB per formula unit
data_LaW2Br
_space_group_name_H-M_alt 'C m m 2'
_space_group_IT_number 35
_space_group_name_Hall 'C 2 -2'
_cell_length_a 3.395
_cell_length_b 5.343
_cell_length_c 9.504
_cell_angle_alpha 90.00
_cell_angle_beta 90.00
_cell_angle_gamma 90.00
loop_
_atom_site_label
_atom_site_type_symbol
_atom_site_fract_x
_atom_site_fract_y
_atom_site_fract_z
La1 La 0.000 0.000 0.000
W1 W 0.000 0.000 0.469
W2 W 0.000 0.500 0.275
Br1 Br 0.000 0.500 0.727

***

Referenced to the most stable arrangement, the calculated values in kJ/mol of atoms are arrangement one 22.5; arrangement two 0.0.

***

Arrangement one

# LaW2Br (GGA-PBE, optimized geometry)
# N(E_F)   7.91 states/eV per cell
# Spin magnetization   0.00 μB per formula unit
data_LaW2Br
_space_group_name_H-M_alt 'C 1 2 1'
_space_group_IT_number 5
_space_group_name_Hall 'C 2y'
_cell_length_a 6.875
_cell_length_b 6.874
_cell_length_c 4.900
_cell_angle_alpha 90.00
_cell_angle_beta 134.48
_cell_angle_gamma 90.00
loop_
_atom_site_label
_atom_site_type_symbol
_atom_site_fract_x
_atom_site_fract_y
_atom_site_fract_z
La1 La 0.000 0.000 0.000
W1 W 0.000 0.501 0.000
W2 W 0.000 0.751 0.500
Br1 Br 0.000 0.250 0.500

***

Arrangement two

# LaW2Br (GGA-PBE, optimized geometry)
# N(E_F)   6.16 states/eV per cell
# Spin magnetization   0.00 μB per formula unit
data_LaW2Br
_space_group_name_H-M_alt 'I m m 2'
_space_group_IT_number 44
_space_group_name_Hall 'I 2 -2'
_cell_length_a 3.499
_cell_length_b 5.636
_cell_length_c 9.630
_cell_angle_alpha 90.00
_cell_angle_beta 90.00
_cell_angle_gamma 90.00
loop_
_atom_site_label
_atom_site_type_symbol
_atom_site_fract_x
_atom_site_fract_y
_atom_site_fract_z
La1 La 0.000 0.000 0.000
W1 W 0.000 0.000 0.502
W2 W 0.000 0.500 0.824
Br1 Br 0.000 0.500 0.227

***

Referenced to the most stable arrangement, the calculated values in kJ/mol of atoms are arrangement one 26.9; arrangement two 0.0.

***

Arrangement one

# LaW2Br (GGA-PBE, optimized geometry)
# N(E_F)   6.64 states/eV per cell
# Spin magnetization   0.00 μB per formula unit
data_LaW2Br
_space_group_name_H-M_alt 'I 4/m m m'
_space_group_IT_number 139
_space_group_name_Hall '-I 4 2'
_cell_length_a 3.929
_cell_length_b 3.929
_cell_length_c 11.382
_cell_angle_alpha 90.00
_cell_angle_beta 90.00
_cell_angle_gamma 90.00
loop_
_atom_site_label
_atom_site_type_symbol
_atom_site_fract_x
_atom_site_fract_y
_atom_site_fract_z
La1 La 0.000 0.000 0.000
W1 W 0.000 0.500 0.250
Br1 Br 0.000 0.000 0.500

***

Arrangement two

# LaW2Br (GGA-PBE, optimized geometry)
# N(E_F)   3.54 states/eV per cell
# Spin magnetization   0.00 μB per formula unit
data_LaW2Br
_space_group_name_H-M_alt 'P 4 m m'
_space_group_IT_number 99
_space_group_name_Hall 'P 4 -2'
_cell_length_a 3.358
_cell_length_b 3.358
_cell_length_c 8.862
_cell_angle_alpha 90.00
_cell_angle_beta 90.00
_cell_angle_gamma 90.00
loop_
_atom_site_label
_atom_site_type_symbol
_atom_site_fract_x
_atom_site_fract_y
_atom_site_fract_z
La1 La 0.000 0.000 0.000
W1 W 0.000 0.000 0.389
W2 W 0.500 0.500 0.264
Br1 Br 0.500 0.500 0.767

***

Arrangement three

# LaW2Br (GGA-PBE, optimized geometry)
# N(E_F)   18.62 states/eV per cell
# Spin magnetization   0.03 μB per formula unit
data_LaW2Br
_space_group_name_H-M_alt 'R -3 m'
_space_group_IT_number 166
_space_group_name_Hall '-R 3 2"'
_cell_length_a 3.0290
_cell_length_b 3.0290
_cell_length_c 30.4647
_cell_angle_alpha 90.00
_cell_angle_beta 90.00
_cell_angle_gamma 120.00
loop_
_atom_site_label
_atom_site_type_symbol
_atom_site_fract_x
_atom_site_fract_y
_atom_site_fract_z
La1 La 0.0000 0.0000 0.0000
W1 W 0.0000 0.0000 0.2389
Br1 Br 0.0000 0.0000 0.5000

***

Arrangement four

# LaW2Br (GGA-PBE, optimized geometry)
# N(E_F)   3.51 states/eV per cell
# Spin magnetization   0.00 μB per formula unit
data_LaW2Br
_space_group_name_H-M_alt 'P 1 2/m 1'
_space_group_IT_number 10
_space_group_name_Hall '-P 2y'
_cell_length_a 3.358
_cell_length_b 5.887
_cell_length_c 4.882
_cell_angle_alpha 90.00
_cell_angle_beta 91.01
_cell_angle_gamma 90.00
loop_
_atom_site_label
_atom_site_type_symbol
_atom_site_fract_x
_atom_site_fract_y
_atom_site_fract_z
La1 La 0.000 0.000 0.000
W1 W 0.257 0.500 0.184
Br1 Br 0.500 0.000 0.500

***

Referenced to the most stable arrangement, the calculated values in kJ/mol of atoms are arrangement one 52.0; arrangement two 0.0; arrangement three 93.7; arrangement four 37.0.

***

Arrangement one

# LaW2Br (GGA-PBE, optimized geometry)
# N(E_F)   8.30 states/eV per cell
# Spin magnetization   0.00 μB per formula unit
data_LaW2Br
_space_group_name_H-M_alt 'A m m 2'
_space_group_IT_number 38
_space_group_name_Hall 'A 2 -2'
_cell_length_a 3.298
_cell_length_b 3.365
_cell_length_c 16.248
_cell_angle_alpha 90.00
_cell_angle_beta 90.00
_cell_angle_gamma 90.00
loop_
_atom_site_label
_atom_site_type_symbol
_atom_site_fract_x
_atom_site_fract_y
_atom_site_fract_z
La1 La 0.000 0.000 0.000
W1 W 0.000 0.000 0.788
W2 W 0.500 0.000 0.363
Br1 Br 0.500 0.000 0.640

***

Arrangement two

# LaW2Br (GGA-PBE, optimized geometry)
# N(E_F)   2.16 states/eV per cell
# Spin magnetization   0.00 μB per formula unit
data_LaW2Br
_space_group_name_H-M_alt 'C 1 m 1'
_space_group_IT_number 8
_space_group_name_Hall 'C -2y'
_cell_length_a 7.282
_cell_length_b 3.947
_cell_length_c 8.115
_cell_angle_alpha 90.00
_cell_angle_beta 114.07
_cell_angle_gamma 90.00
loop_
_atom_site_label
_atom_site_type_symbol
_atom_site_fract_x
_atom_site_fract_y
_atom_site_fract_z
La1 La 0.000 0.000 0.000
W1 W 0.035 0.500 0.374
W2 W 0.304 0.500 0.253
Br1 Br 0.185 0.000 0.700

***

Referenced to the most stable arrangement, the calculated values in kJ/mol of atoms are arrangement one 0.0; arrangement two 26.7.

***

Arrangement one

# LaW2Br (GGA-PBE, optimized geometry)
# N(E_F)   4.90 states/eV per cell
# Spin magnetization   0.00 μB per formula unit
data_LaW2Br
_space_group_name_H-M_alt 'P 4/m m m'
_space_group_IT_number 123
_space_group_name_Hall '-P 4 2'
_cell_length_a 2.957
_cell_length_b 2.957
_cell_length_c 9.449
_cell_angle_alpha 90.00
_cell_angle_beta 90.00
_cell_angle_gamma 90.00
loop_
_atom_site_label
_atom_site_type_symbol
_atom_site_fract_x
_atom_site_fract_y
_atom_site_fract_z
La1 La 0.000 0.000 0.000
W1 W 0.500 0.500 0.279
Br1 Br 0.000 0.000 0.500

***

Arrangement two

# LaW2Br (GGA-PBE, optimized geometry)
# N(E_F)   6.03 states/eV per cell
# Spin magnetization   0.00 μB per formula unit
data_LaW2Br
_space_group_name_H-M_alt 'C m m m'
_space_group_IT_number 65
_space_group_name_Hall '-C 2 2'
_cell_length_a 5.514
_cell_length_b 10.447
_cell_length_c 2.984
_cell_angle_alpha 90.00
_cell_angle_beta 90.00
_cell_angle_gamma 90.00
loop_
_atom_site_label
_atom_site_type_symbol
_atom_site_fract_x
_atom_site_fract_y
_atom_site_fract_z
La1 La 0.000 0.000 0.000
W1 W 0.250 0.250 0.500
Br1 Br 0.000 0.500 0.000

***

Referenced to the most stable arrangement, the calculated values in kJ/mol of atoms are arrangement one 17.1; arrangement two 0.0.

***

Arrangement one

# LaW2Br (GGA-PBE, optimized geometry)
# N(E_F)   4.98 states/eV per cell
# Spin magnetization   0.00 μB per formula unit
data_LaW2Br
_space_group_name_H-M_alt 'P m m m'
_space_group_IT_number 47
_space_group_name_Hall '-P 2 2'
_cell_length_a 3.270
_cell_length_b 4.580
_cell_length_c 5.737
_cell_angle_alpha 90.00
_cell_angle_beta 90.00
_cell_angle_gamma 90.00
loop_
_atom_site_label
_atom_site_type_symbol
_atom_site_fract_x
_atom_site_fract_y
_atom_site_fract_z
La1 La 0.000 0.000 0.000
W1 W 0.000 0.500 0.500
W2 W 0.500 0.000 0.500
Br1 Br 0.500 0.500 0.000

***

Arrangement two

# LaW2Br (GGA-PBE, optimized geometry)
# N(E_F)   24.58 states/eV per cell
# Spin magnetization   0.00 μB per formula unit
data_LaW2Br
_space_group_name_H-M_alt 'I -4 2 d'
_space_group_IT_number 122
_space_group_name_Hall 'I -4 2bw'
_cell_length_a 3.983
_cell_length_b 3.983
_cell_length_c 23.165
_cell_angle_alpha 90.00
_cell_angle_beta 90.00
_cell_angle_gamma 90.00
loop_
_atom_site_label
_atom_site_type_symbol
_atom_site_fract_x
_atom_site_fract_y
_atom_site_fract_z
La1 La 0.000 0.000 0.000
W1 W 0.216 0.250 0.125
Br1 Br 0.000 0.000 0.500

***

Referenced to the most stable arrangement, the calculated values in kJ/mol of atoms are arrangement one 0.0; arrangement two 6.1.

***

Arrangement one

# LaWBr3 (GGA-PBE, optimized geometry)
# N(E_F)   6.53 states/eV per cell
# Spin magnetization   1.63 μB per formula unit
data_LaWBr3
_space_group_name_H-M_alt 'P m -3 m'
_space_group_IT_number 221
_space_group_name_Hall '-P 4 2 3'
_cell_length_a 5.132
_cell_length_b 5.132
_cell_length_c 5.132
_cell_angle_alpha 90.00
_cell_angle_beta 90.00
_cell_angle_gamma 90.00
loop_
_atom_site_label
_atom_site_type_symbol
_atom_site_fract_x
_atom_site_fract_y
_atom_site_fract_z
La1 La 0.000 0.000 0.000
W1 W 0.500 0.500 0.500
Br1 Br 0.000 0.500 0.500

***

Arrangement two

# LaWBr3 (GGA-PBE, optimized geometry)
# N(E_F)   10.49 states/eV per cell
# Spin magnetization   6.00 μB per formula unit
data_LaWBr3
_space_group_name_H-M_alt 'P m -3 m'
_space_group_IT_number 221
_space_group_name_Hall '-P 4 2 3'
_cell_length_a 5.846
_cell_length_b 5.846
_cell_length_c 5.846
_cell_angle_alpha 90.00
_cell_angle_beta 90.00
_cell_angle_gamma 90.00
loop_
_atom_site_label
_atom_site_type_symbol
_atom_site_fract_x
_atom_site_fract_y
_atom_site_fract_z
La1 La 0.000 0.000 0.000
W1 W 0.500 0.500 0.500
Br1 Br 0.000 0.000 0.500

***

Referenced to the most stable arrangement, the calculated values in kJ/mol of atoms are arrangement one 9.2; arrangement two 0.0.

***

Arrangement one

# LaW3Br (GGA-PBE, optimized geometry)
# N(E_F)   9.76 states/eV per cell
# Spin magnetization   0.00 μB per formula unit
data_LaW3Br
_space_group_name_H-M_alt 'P m -3 m'
_space_group_IT_number 221
_space_group_name_Hall '-P 4 2 3'
_cell_length_a 4.962
_cell_length_b 4.962
_cell_length_c 4.962
_cell_angle_alpha 90.00
_cell_angle_beta 90.00
_cell_angle_gamma 90.00
loop_
_atom_site_label
_atom_site_type_symbol
_atom_site_fract_x
_atom_site_fract_y
_atom_site_fract_z
La1 La 0.000 0.000 0.000
W1 W 0.000 0.000 0.500
Br1 Br 0.500 0.500 0.500

***

Arrangement two

# LaW3Br (GGA-PBE, optimized geometry)
# N(E_F)   6.45 states/eV per cell
# Spin magnetization   1.32 μB per formula unit
data_LaW3Br
_space_group_name_H-M_alt 'P m -3 m'
_space_group_IT_number 221
_space_group_name_Hall '-P 4 2 3'
_cell_length_a 4.763
_cell_length_b 4.763
_cell_length_c 4.763
_cell_angle_alpha 90.00
_cell_angle_beta 90.00
_cell_angle_gamma 90.00
loop_
_atom_site_label
_atom_site_type_symbol
_atom_site_fract_x
_atom_site_fract_y
_atom_site_fract_z
La1 La 0.000 0.000 0.000
W1 W 0.000 0.500 0.500
Br1 Br 0.500 0.500 0.500

***

Referenced to the most stable arrangement, the calculated values in kJ/mol of atoms are arrangement one 145.5; arrangement two 0.0.